The following is a GGA+U calculation of a relaxed structure of Tl2HgWO4, from Alexandria.

Size of the total moment, μB/f.u.: 0.0
VASP energy, eV/atom: -5.260

Geometry as POSCAR:
```
Tl2HgWO4
1.0
7.792 0.000 0.000
0.000 7.792 0.000
0.000 0.000 7.058
Tl Hg W O
4 2 2 8
Direct
0.000 0.000 0.000 Tl
0.000 0.500 0.250 Tl
0.500 0.000 0.750 Tl
0.500 0.500 0.500 Tl
0.000 0.500 0.750 Hg
0.500 0.000 0.250 Hg
0.000 0.000 0.500 W
0.500 0.500 0.000 W
0.082 0.832 0.345 O
0.168 0.082 0.655 O
0.332 0.418 0.155 O
0.418 0.668 0.845 O
0.582 0.332 0.845 O
0.668 0.582 0.155 O
0.832 0.918 0.655 O
0.918 0.168 0.345 O
```